Compound: Rb3MgNi
Source: Alexandria
Functional: GGA-PBEsol
Structure: relaxed

It has space group Pm-3m (No. 221), with a = 6.261 Å, b = 6.261 Å, c = 6.261 Å, α = 90.00°, β = 90.00° and γ = 90.00°. The distinct sites, in fractional coordinates, are Rb at (0.000, 0.000, 0.500), Mg at (0.500, 0.500, 0.500) and Ni at (0.000, 0.000, 0.000).

For the total magnetization, the calculation gives 0.55 μB per formula unit. The crystal system is cubic. For the volume, the calculation gives 49.08 Å³/atom. The calculation puts the mass density at 2297 kg/m³. For the energy relative to the elements, the calculation gives 0.670 eV/atom.